[1]
Computed, not measured: crystalline AlAgSN2 at its relaxed geometry at the GGA-PBEsol level of DFT.

a b c (Å): 3.9453 3.9453 5.1209
angles (deg): 90.00 90.00 90.00
Closest atoms and distances in Å follow each position.
Space group P4/mmm (No. 123)
Inequivalent atoms, fractional coordinates:
Al: 0.0000 0.0000 0.0000 [1 per cell]  4 S 2.79
Ag: 0.5000 0.5000 0.5000 [1 per cell]  4 N 1.97
S: 0.5000 0.5000 0.0000 [1 per cell]  2 Ag 2.56, 4 Al 2.79
N: 0.0000 0.5000 0.5000 [2 per cell]  2 Ag 1.97

Computed properties:
The size of the total moment is 2.92 μB/f.u. The uncorrected formation energy comes out at 1575 meV/atom. For the total DFT energy (no corrections), the calculation gives -0.154 Ha/atom.


[2]
Computed, not measured: crystalline Fe3SbTe at its relaxed geometry at the GGA-PBEsol level of DFT.

a b c (Å): 4.7430 4.7430 4.7430
angles (deg): 90.00 90.00 90.00
Closest atoms and distances in Å follow each position.
Space group Pm-3m (No. 221)
Inequivalent atoms, fractional coordinates:
Fe: 0.0000 0.0000 0.5000 [3 per cell]  2 Sb 2.37
Sb: 0.0000 0.0000 0.0000 [1 per cell]  6 Fe 2.37
Te: 0.5000 0.5000 0.5000 [1 per cell]  12 Fe 3.35

Computed properties:
The size of the total moment is 8.13 μB/f.u. The uncorrected formation energy comes out at 1247 meV/atom. For the total DFT energy (no corrections), the calculation gives -0.211 Ha/atom.


[3]
Computed, not measured: crystalline K2HgRh at its relaxed geometry at the GGA-PBEsol level of DFT.

a b c (Å): 3.4431 3.9435 9.6074
angles (deg): 90.00 90.00 90.00
Closest atoms and distances in Å follow each position.
Space group Pmm2 (No. 25)
Inequivalent atoms, fractional coordinates:
K: 0.0000 0.0000 0.0000 [1 per cell]  1 Hg 3.09, 2 K 3.44
K: 0.5000 0.5000 0.4251 [1 per cell]  1 Rh 3.02
Hg: 0.0000 0.0000 0.6780 [1 per cell]  4 Rh 2.68
Rh: 0.5000 0.5000 0.7394 [1 per cell]  4 Hg 2.68

Computed properties:
The size of the total moment is 0.00 μB/f.u. For the total DFT energy (no corrections), the calculation gives -0.093 Ha/atom. The calculation puts the formation energy at 214.3 meV/atom.


[4]
Computed, not measured: crystalline HgIrRu2 at its relaxed geometry at the GGA-PBEsol level of DFT.

a b c (Å): 3.8629 3.8629 7.9731
angles (deg): 90.00 90.00 90.00
Closest atoms and distances in Å follow each position.
Space group I-4m2 (No. 119)
Inequivalent atoms, fractional coordinates:
Hg: 0.0000 0.0000 0.0000 [2 per cell]  8 Ru 2.73-2.78, 4 Ir 2.78
Ir: 0.0000 0.5000 0.2500 [2 per cell]  8 Ru 2.73-2.78, 4 Hg 2.78
Ru: 0.0000 0.0000 0.5000 [2 per cell]  4 Hg 2.73, 4 Ru 2.78, 4 Ir 2.78
Ru: 0.0000 0.5000 0.7500 [2 per cell]  4 Ir 2.73, 4 Hg 2.78, 4 Ru 2.78

Computed properties:
The size of the total moment is 0.00 μB/f.u. For the total DFT energy (no corrections), the calculation gives -0.265 Ha/atom. The calculation puts the formation energy at 486.2 meV/atom.


[5]
Computed, not measured: crystalline Ce2B2Ir5 at its relaxed geometry at the GGA-PBEsol level of DFT.

a b c (Å): 5.4412 5.4412 31.3960
angles (deg): 90.00 90.00 120.00
Closest atoms and distances in Å follow each position.
Space group R-3m (No. 166, hexagonal axes)
Inequivalent atoms, fractional coordinates:
Ce: 0.0000 0.0000 0.0514 [6 per cell]  12 Ir 3.07-3.16, 6 B 3.14, 2 Ce 3.16-3.22
Ce: 0.0000 0.0000 0.1519 [6 per cell]  12 Ir 3.10-3.23, 4 Ce 3.16-3.27
B: 0.0000 0.0000 0.2835 [6 per cell]  6 Ir 2.16-2.22
B: 0.0000 0.0000 0.3826 [6 per cell]  6 Ir 2.15-2.20
Ir: 0.0000 0.0000 0.5000 [3 per cell]  6 Ir 2.69
Ir: 0.0000 0.5000 0.0000 [9 per cell]  4 B 2.20-2.22
Ir: 0.0042 0.5021 0.0965 [18 per cell]  2 B 2.15-2.16

Computed properties:
The size of the total moment is 0.00 μB/f.u. For the total DFT energy (no corrections), the calculation gives -0.339 Ha/atom. The calculation puts the formation energy at -735.2 meV/atom.


[6]
Computed, not measured: crystalline LiCdCu4 at its relaxed geometry at the GGA-PBEsol level of DFT.

a b c (Å): 6.8692 6.8692 6.8692
angles (deg): 90.00 90.00 90.00
Closest atoms and distances in Å follow each position.
Space group F-43m (No. 216)
Inequivalent atoms, fractional coordinates:
Li: 0.0000 0.0000 0.0000 [4 per cell]  12 Cu 2.85, 4 Cd 2.97
Cd: 0.2500 0.2500 0.7500 [4 per cell]  12 Cu 2.85, 4 Li 2.97
Cu: 0.1251 0.1251 0.3749 [16 per cell]  6 Cu 2.43

Computed properties:
The size of the total moment is 0.00 μB/f.u. For the total DFT energy (no corrections), the calculation gives -0.127 Ha/atom. The calculation puts the formation energy at -51.7 meV/atom.


[7]
Computed, not measured: crystalline Cu2SnSe3 at its relaxed geometry at the GGA-PBEsol level of DFT.

a b c (Å): 4.0563 12.0107 5.6018
angles (deg): 90.00 90.00 90.00
Closest atoms and distances in Å follow each position.
Space group Imm2 (No. 44)
Inequivalent atoms, fractional coordinates:
Cu: 0.0000 0.1702 0.0000 [4 per cell]  4 Se 2.38-2.40
Sn: 0.0000 0.5000 0.0300 [2 per cell]  4 Se 2.57-2.65
Se: 0.0000 0.0000 0.2243 [2 per cell]  2 Cu 2.40, 2 Sn 2.65
Se: 0.0000 0.3204 0.2791 [4 per cell]  3 Cu 2.38-2.39, 1 Sn 2.57

Computed properties:
The size of the total moment is 0.00 μB/f.u. The uncorrected formation energy comes out at -254 meV/atom. For the total DFT energy (no corrections), the calculation gives -0.159 Ha/atom.


[8]
Computed, not measured: crystalline KBa at its relaxed geometry at the GGA-PBEsol level of DFT.

a b c (Å): 4.4263 4.4263 15.1096
angles (deg): 90.00 90.00 120.00
Closest atoms and distances in Å follow each position.
Space group P-3m1 (No. 164)
Inequivalent atoms, fractional coordinates:
K: 0.3333 0.6667 0.1306 [2 per cell]  9 K 4.43-4.70, 3 Ba 4.59
Ba: 0.3333 0.6667 0.6173 [2 per cell]  9 Ba 4.37-4.43, 3 K 4.59

Computed properties:
The size of the total moment is 0.00 μB/f.u. For the total DFT energy (no corrections), the calculation gives -0.058 Ha/atom. The calculation puts the formation energy at 52.9 meV/atom.


[9]
Computed, not measured: crystalline SmTmMg2 at its relaxed geometry at the GGA-PBEsol level of DFT.

a b c (Å): 7.4923 7.4923 7.4923
angles (deg): 90.00 90.00 90.00
Closest atoms and distances in Å follow each position.
Space group Fm-3m (No. 225)
Inequivalent atoms, fractional coordinates:
Sm: 0.0000 0.0000 0.0000 [4 per cell]  8 Mg 3.24
Tm: 0.0000 0.0000 0.5000 [4 per cell]  8 Mg 3.24
Mg: 0.2500 0.2500 0.2500 [8 per cell]  4 Tm 3.24, 4 Sm 3.24

Computed properties:
The size of the total moment is 0.00 μB/f.u. For the total DFT energy (no corrections), the calculation gives -0.126 Ha/atom. The calculation puts the formation energy at -71.8 meV/atom.


[10]
Computed, not measured: crystalline BaTl3 at its relaxed geometry at the GGA-PBEsol level of DFT.

a b c (Å): 3.8100 5.2746 6.4872
angles (deg): 90.00 99.25 90.00
Closest atoms and distances in Å follow each position.
Space group P2/m (No. 10)
Inequivalent atoms, fractional coordinates:
Ba: 0.0000 0.0000 0.0000 [1 per cell]  6 Tl 3.49-3.51, 2 Ba 3.81
Tl: 0.3066 0.5000 0.7204 [2 per cell]  4 Tl 3.14-3.42, 2 Ba 3.51
Tl: 0.5000 0.0000 0.5000 [1 per cell]  4 Tl 3.14, 2 Ba 3.49

Computed properties:
The size of the total moment is 0.00 μB/f.u. For the total DFT energy (no corrections), the calculation gives -0.101 Ha/atom. The calculation puts the formation energy at -231.4 meV/atom.


[11]
Computed, not measured: crystalline In2AsAu at its relaxed geometry at the GGA-PBEsol level of DFT.

a b c (Å): 4.1811 5.4759 8.0740
angles (deg): 90.00 90.00 90.00
Closest atoms and distances in Å follow each position.
Space group Amm2 (No. 38)
Inequivalent atoms, fractional coordinates:
In: 0.0000 0.0000 0.0000 [2 per cell]  2 Au 2.78, 2 As 2.90
In: 0.5000 0.0000 0.3327 [2 per cell]  2 Au 2.78, 2 As 2.82
As: 0.5000 0.0000 0.7512 [2 per cell]  2 Au 2.60, 4 In 2.82-2.90
Au: 0.0000 0.0000 0.5598 [2 per cell]  2 As 2.60, 4 In 2.78

Computed properties:
The size of the total moment is 0.00 μB/f.u. For the total DFT energy (no corrections), the calculation gives -0.141 Ha/atom. The calculation puts the formation energy at -85.7 meV/atom.


[12]
Computed, not measured: crystalline RbBH4 at its relaxed geometry at the GGA-PBEsol level of DFT.

a b c (Å): 6.7902 6.7902 6.7902
angles (deg): 90.00 90.00 90.00
Closest atoms and distances in Å follow each position.
Space group F-43m (No. 216)
Inequivalent atoms, fractional coordinates:
Rb: 0.0000 0.0000 0.0000 [4 per cell]  12 H 2.87
B: 0.0000 0.0000 0.5000 [4 per cell]  4 H 1.23
H: 0.1050 0.1050 0.6050 [16 per cell]  1 B 1.23

Computed properties:
The size of the total moment is 0.00 μB/f.u. For the total DFT energy (no corrections), the calculation gives -0.144 Ha/atom.


[13]
Computed, not measured: crystalline Nd2MnFeO6 at its relaxed geometry at the GGA-PBEsol level of DFT.

a b c (Å): 5.3703 5.4924 9.3298
angles (deg): 90.00 125.11 90.00
Closest atoms and distances in Å follow each position.
Space group P2_1/c (No. 14)
Inequivalent atoms, fractional coordinates:
Nd: 0.2391 0.0506 0.2502 [4 per cell]  6 O 2.37-2.55
Mn: 0.0000 0.0000 0.5000 [2 per cell]  6 O 1.91-1.93
Fe: 0.5000 0.0000 0.0000 [2 per cell]  6 O 1.99-2.01
O: 0.1632 0.2166 0.9590 [4 per cell]  1 Mn 1.93, 1 Fe 2.01
O: 0.2436 0.7056 0.9595 [4 per cell]  1 Mn 1.92, 1 Fe 2.01
O: 0.3205 0.0142 0.7449 [4 per cell]  1 Mn 1.91, 1 Fe 1.99

Computed properties:
The size of the total moment is 7.00 μB/f.u. The uncorrected formation energy comes out at -2517 meV/atom. For the total DFT energy (no corrections), the calculation gives -0.315 Ha/atom.


[14]
Computed, not measured: crystalline MgSeO4 at its relaxed geometry at the GGA-PBEsol level of DFT.

a b c (Å): 5.4467 8.2289 6.5454
angles (deg): 90.00 90.00 90.00
Closest atoms and distances in Å follow each position.
Space group Cmcm (No. 63)
Inequivalent atoms, fractional coordinates:
Mg: 0.0000 0.0000 0.0000 [4 per cell]  6 O 2.03-2.14
Se: 0.0000 0.3516 0.2500 [4 per cell]  4 O 1.64-1.69
O: 0.0000 0.2447 0.0385 [8 per cell]  1 Se 1.64
O: 0.2494 0.4729 0.2500 [8 per cell]  1 Se 1.69

Computed properties:
The size of the total moment is 0.00 μB/f.u. The uncorrected formation energy comes out at -1421 meV/atom. For the total DFT energy (no corrections), the calculation gives -0.215 Ha/atom.


[15]
Computed, not measured: crystalline Os2RuRh at its relaxed geometry at the GGA-PBEsol level of DFT.

a b c (Å): 2.6875 2.6875 26.2848
angles (deg): 90.00 90.00 120.00
Closest atoms and distances in Å follow each position.
Space group R3m (No. 160, hexagonal axes)
Inequivalent atoms, fractional coordinates:
Os: 0.0000 0.0000 0.0000 [3 per cell]  3 Ru 2.66, 9 Os 2.68-2.69
Os: 0.0000 0.0000 0.2502 [3 per cell]  9 Os 2.68-2.69, 3 Rh 2.70
Ru: 0.0000 0.0000 0.7490 [3 per cell]  3 Os 2.66, 6 Ru 2.69, 3 Rh 2.69
Rh: 0.0000 0.0000 0.4994 [3 per cell]  6 Rh 2.69, 3 Ru 2.69, 3 Os 2.70

Computed properties:
The energy above the lowest structure with this stoichiometry comes out at 0.009 eV/atom. The size of the total moment is 0.00 μB/f.u. For the total DFT energy (no corrections), the calculation gives -0.389 Ha/atom. The calculation puts the formation energy at 92.1 meV/atom.


[16]
Computed, not measured: crystalline K3CuNi at its relaxed geometry at the GGA-PBEsol level of DFT.

a b c (Å): 5.9249 5.9249 5.9249
angles (deg): 90.00 90.00 90.00
Closest atoms and distances in Å follow each position.
Space group Pm-3m (No. 221)
Inequivalent atoms, fractional coordinates:
K: 0.0000 0.0000 0.5000 [3 per cell]  2 Cu 2.96
Cu: 0.0000 0.0000 0.0000 [1 per cell]  6 K 2.96
Ni: 0.5000 0.5000 0.5000 [1 per cell]  12 K 4.19

Computed properties:
The size of the total moment is 0.35 μB/f.u. For the total DFT energy (no corrections), the calculation gives -0.068 Ha/atom. The calculation puts the formation energy at 930.2 meV/atom.


[17]
Computed, not measured: crystalline Te3P at its relaxed geometry at the GGA-PBEsol level of DFT.

a b c (Å): 5.1132 5.1132 7.2790
angles (deg): 90.00 90.00 90.00
Closest atoms and distances in Å follow each position.
Space group I4/mmm (No. 139)
Inequivalent atoms, fractional coordinates:
Te: 0.0000 0.0000 0.0000 [2 per cell]  8 Te 3.14
Te: 0.0000 0.5000 0.2500 [4 per cell]  4 Te 3.14, 4 P 3.14
P: 0.0000 0.0000 0.5000 [2 per cell]  8 Te 3.14

Computed properties:
The energy above the lowest structure with this stoichiometry comes out at 0.202 eV/atom. The size of the total moment is 0.00 μB/f.u. The uncorrected formation energy comes out at 477 meV/atom. For the total DFT energy (no corrections), the calculation gives -0.133 Ha/atom.


[18]
Computed, not measured: crystalline TmZnRh at its relaxed geometry at the GGA-PBEsol level of DFT.

a b c (Å): 6.7696 3.8998 7.9660
angles (deg): 90.00 90.00 90.00
Closest atoms and distances in Å follow each position.
Space group Pnma (No. 62)
Inequivalent atoms, fractional coordinates:
Tm: 0.0425 0.2500 0.1824 [4 per cell]  5 Rh 2.82-2.84, 5 Zn 3.06-3.09
Zn: 0.1333 0.2500 0.5628 [4 per cell]  4 Rh 2.58-2.63, 2 Zn 2.84
Rh: 0.2487 0.7500 0.3743 [4 per cell]  4 Zn 2.58-2.63, 5 Tm 2.82-2.84

Computed properties:
The size of the total moment is 0.00 μB/f.u. For the total DFT energy (no corrections), the calculation gives -0.206 Ha/atom. The calculation puts the formation energy at -732.3 meV/atom.


[19]
Computed, not measured: crystalline LiOs2Pb at its relaxed geometry at the GGA-PBEsol level of DFT.

a b c (Å): 3.8061 3.8061 4.3461
angles (deg): 90.00 90.00 90.00
Closest atoms and distances in Å follow each position.
Space group P4/mmm (No. 123)
Inequivalent atoms, fractional coordinates:
Li: 0.0000 0.0000 0.0000 [1 per cell]  4 Pb 2.69, 8 Os 2.89
Os: 0.0000 0.5000 0.5000 [2 per cell]  4 Os 2.69, 4 Pb 2.89, 4 Li 2.89
Pb: 0.5000 0.5000 0.0000 [1 per cell]  4 Li 2.69, 8 Os 2.89

Computed properties:
The size of the total moment is 0.00 μB/f.u. For the total DFT energy (no corrections), the calculation gives -0.252 Ha/atom. The calculation puts the formation energy at 752.1 meV/atom.


[20]
Computed, not measured: crystalline Al2CoTc at its relaxed geometry at the GGA-PBEsol level of DFT.

a b c (Å): 2.7373 2.7373 24.2678
angles (deg): 90.00 90.00 120.00
Closest atoms and distances in Å follow each position.
Space group R-3m (No. 166, hexagonal axes)
Inequivalent atoms, fractional coordinates:
Al: 0.0000 0.0000 0.2440 [6 per cell]  3 Co 2.45, 3 Tc 2.68, 6 Al 2.74
Co: 0.0000 0.0000 0.5000 [3 per cell]  6 Al 2.45, 6 Co 2.74
Tc: 0.0000 0.0000 0.0000 [3 per cell]  6 Al 2.68, 6 Tc 2.74

Computed properties:
The size of the total moment is 0.63 μB/f.u. For the total DFT energy (no corrections), the calculation gives -0.257 Ha/atom. The calculation puts the formation energy at -187.3 meV/atom.